# GGA-PBE In2TePd3, optimized geometry
data_In2TePd3
_chemical_formula_sum 'In8 Te4 Pd12'
_symmetry_space_group_name_H-M 'C 1 2/c 1'
_symmetry_Int_Tables_number 15
_cell_length_a 12.620
_cell_length_b 5.278
_cell_length_c 7.881
_cell_angle_alpha 90.00
_cell_angle_beta 108.82
_cell_angle_gamma 90.00
loop_
_symmetry_equiv_pos_as_xyz
'x,y,z'
'-x,-y,-z'
'-x,y,-z+1/2'
'x,-y,z+1/2'
'x+1/2,y+1/2,z'
'-x+1/2,-y+1/2,-z'
'-x+1/2,y+1/2,-z+1/2'
'x+1/2,-y+1/2,z+1/2'
loop_
_atom_site_label
_atom_site_type_symbol
_atom_site_fract_x
_atom_site_fract_y
_atom_site_fract_z
In1 In 0.203 0.003 0.099
Te1 Te 0.000 0.285 0.250
Pd1 Pd 0.000 0.206 0.750
Pd2 Pd 0.128 0.498 0.566
# energy relative to the elements, uncorrected: -0.289 eV per atom
# Fermi-level density of states: 10.4 states/eV per cell
# crystal system: monoclinic
# calculated volume: 497 Å³/cell

***

# GGA-PBE In3TePd12, optimized geometry
data_In3TePd12
_chemical_formula_sum 'In3 Te1 Pd12'
_symmetry_space_group_name_H-M 'P 4/m m m'
_symmetry_Int_Tables_number 123
_symmetry_space_group_name_Hall '-P 4 2'
_cell_length_a 4.043
_cell_length_b 4.043
_cell_length_c 16.246
_cell_angle_alpha 90.00
_cell_angle_beta 90.00
_cell_angle_gamma 90.00
loop_
_atom_site_label
_atom_site_type_symbol
_atom_site_fract_x
_atom_site_fract_y
_atom_site_fract_z
In1 In 0.000 0.000 0.000
In2 In 0.000 0.000 0.246
Te1 Te 0.000 0.000 0.500
Pd1 Pd 0.000 0.500 0.124
Pd2 Pd 0.000 0.500 0.374
Pd3 Pd 0.500 0.500 0.000
Pd4 Pd 0.500 0.500 0.251
Pd5 Pd 0.500 0.500 0.500
# energy relative to the elements, uncorrected: -0.383 eV per atom
# Fermi-level density of states: 12.8 states/eV per cell
# crystal system: tetragonal
# calculated volume: 266 Å³/cell

***

# GGA-PBE InTePd6, optimized geometry
data_InTePd6
_chemical_formula_sum 'In1 Te1 Pd6'
_symmetry_space_group_name_H-M 'P -1'
_symmetry_Int_Tables_number 2
_cell_length_a 5.175
_cell_length_b 5.223
_cell_length_c 5.233
_cell_angle_alpha 94.01
_cell_angle_beta 94.38
_cell_angle_gamma 93.89
loop_
_symmetry_equiv_pos_as_xyz
'x,y,z'
'-x,-y,-z'
loop_
_atom_site_label
_atom_site_type_symbol
_atom_site_fract_x
_atom_site_fract_y
_atom_site_fract_z
In1 In 0.000 0.000 0.000
Te1 Te 0.500 0.500 0.500
Pd1 Pd 0.062 0.446 0.752
Pd2 Pd 0.249 0.933 0.557
Pd3 Pd 0.447 0.751 0.065
# energy relative to the elements, uncorrected: -0.255 eV per atom
# Fermi-level density of states: 4.6 states/eV per cell
# crystal system: triclinic
# calculated volume: 140 Å³/cell

***

# GGA-PBE InTePd, optimized geometry
data_InTePd
_chemical_formula_sum 'In2 Te2 Pd2'
_symmetry_space_group_name_H-M 'P 1 m 1'
_symmetry_Int_Tables_number 6
_cell_length_a 5.240
_cell_length_b 4.296
_cell_length_c 7.042
_cell_angle_alpha 90.00
_cell_angle_beta 108.10
_cell_angle_gamma 90.00
loop_
_symmetry_equiv_pos_as_xyz
'x,y,z'
'x,-y,z'
loop_
_atom_site_label
_atom_site_type_symbol
_atom_site_fract_x
_atom_site_fract_y
_atom_site_fract_z
In1 In 0.000 0.000 0.000
In2 In 0.368 0.500 0.401
Te1 Te 0.567 0.500 0.947
Te2 Te 0.992 0.000 0.518
Pd1 Pd 0.516 0.000 0.212
Pd2 Pd 0.570 0.000 0.651
# energy relative to the elements, uncorrected: -0.282 eV per atom
# Fermi-level density of states: 3.1 states/eV per cell
# excess energy over the best structure of this formula in the dataset: 0.15 eV per formula unit
# crystal system: monoclinic
# calculated volume: 151 Å³/cell

***

Question: Which value of Fermi-level density of states does entry 1 give?
Answer: 10.4 states/eV per cell

***

Question: Number 2 is which compound?
Answer: In3TePd12

***

Repeat the fourth record exactly.
# GGA-PBE InTePd, optimized geometry
data_InTePd
_chemical_formula_sum 'In2 Te2 Pd2'
_symmetry_space_group_name_H-M 'P 1 m 1'
_symmetry_Int_Tables_number 6
_cell_length_a 5.240
_cell_length_b 4.296
_cell_length_c 7.042
_cell_angle_alpha 90.00
_cell_angle_beta 108.10
_cell_angle_gamma 90.00
loop_
_symmetry_equiv_pos_as_xyz
'x,y,z'
'x,-y,z'
loop_
_atom_site_label
_atom_site_type_symbol
_atom_site_fract_x
_atom_site_fract_y
_atom_site_fract_z
In1 In 0.000 0.000 0.000
In2 In 0.368 0.500 0.401
Te1 Te 0.567 0.500 0.947
Te2 Te 0.992 0.000 0.518
Pd1 Pd 0.516 0.000 0.212
Pd2 Pd 0.570 0.000 0.651
# energy relative to the elements, uncorrected: -0.282 eV per atom
# Fermi-level density of states: 3.1 states/eV per cell
# excess energy over the best structure of this formula in the dataset: 0.15 eV per formula unit
# crystal system: monoclinic
# calculated volume: 151 Å³/cell